Below is an optimized crystal structure of Al2VGa, with properties calculated at the PBE level.

Output
Spin magnetization = 2.6 Bohr magnetons per cell
ΔE_f = 0.1500 eV per atom
Energy = -4.758 eV/atom
SG = No. 216

Cell: 4.467 4.467 4.467 Å, 60.00 60.00 60.00°
Fractional coordinates of all 4 atoms:
Al 0.000 0.000 0.000
Al 0.250 0.250 0.250
V 0.500 0.500 0.500
Ga 0.750 0.750 0.750



Below is an optimized crystal structure of AcDy9In2, with properties calculated at the PBE level.

Output
Spin magnetization = 0.0 Bohr magnetons per cell
ΔE_f = -0.1330 eV per atom
Energy = -4.383 eV/atom
SG = No. 123

Cell: 4.906 4.906 15.128 Å, 90.00 90.00 90.00°
Fractional coordinates of all 12 atoms:
Ac 0.000 0.000 0.000
Dy 0.000 0.500 0.180
Dy 0.000 0.500 0.500
Dy 0.000 0.500 0.820
Dy 0.500 0.000 0.180
Dy 0.500 0.000 0.500
Dy 0.500 0.000 0.820
Dy 0.500 0.500 0.000
Dy 0.500 0.500 0.342
Dy 0.500 0.500 0.658
In 0.000 0.000 0.341
In 0.000 0.000 0.659



Below is an optimized crystal structure of BeSi2, with properties calculated at the PBE level.

Output
Spin magnetization = 0.0 Bohr magnetons per cell
ΔE_f (raw) = 406 meV/atom
Energy = -4.452 eV/atom
SG = No. 139
Energy relative to the lowest polymorph listed for this composition = 0.149 eV per atom

Cell: 6.101 6.101 6.101 Å, 156.13 156.13 34.00°
Fractional coordinates of all 3 atoms:
Be 0.000 0.000 0.000
Si 0.349 0.349 0.000
Si 0.651 0.651 0.000



Below is an optimized crystal structure of TlTcAg2Br8, with properties calculated at the PBE level.

Output
Spin magnetization = 2.2 Bohr magnetons per cell
ΔE_f (raw) = -411 meV/atom
Energy = -3.063 eV/atom
SG = No. 2

Cell: 6.888 7.173 8.613 Å, 70.71 88.48 79.41°
Fractional coordinates of all 12 atoms:
Tl 0.000 0.000 0.000
Tc 0.000 0.000 0.500
Ag 0.479 0.312 0.197
Ag 0.521 0.688 0.803
Br 0.091 0.241 0.228
Br 0.135 0.194 0.654
Br 0.334 0.776 0.518
Br 0.396 0.731 0.083
Br 0.604 0.269 0.917
Br 0.666 0.224 0.482
Br 0.865 0.806 0.346
Br 0.909 0.759 0.772



Below is an optimized crystal structure of Ce4NdSm, with properties calculated at the PBE level.

Output
Spin magnetization = 4.7 Bohr magnetons per cell
ΔE_f = 0.2043 eV per atom
Energy = -5.333 eV/atom
SG = No. 216

Cell: 6.369 6.369 6.369 Å, 60.00 60.00 60.00°
Fractional coordinates of all 6 atoms:
Ce 0.123 0.123 0.123
Ce 0.123 0.123 0.632
Ce 0.123 0.632 0.123
Ce 0.632 0.123 0.123
Nd 0.500 0.500 0.500
Sm 0.750 0.750 0.750



Below is an optimized crystal structure of La2Cu2Te, with properties calculated at the PBE level.

Output
Spin magnetization = 0.0 Bohr magnetons per cell
ΔE_f (raw) = -496 meV/atom
Energy = -4.734 eV/atom
SG = No. 139
Energy relative to the lowest polymorph listed for this composition = 0.055 eV per atom

Cell: 8.975 8.975 8.975 Å, 155.06 155.06 35.56°
Fractional coordinates of all 5 atoms:
La 0.117 0.117 0.000
La 0.883 0.883 0.000
Cu 0.250 0.750 0.500
Cu 0.750 0.250 0.500
Te 0.500 0.500 0.000



Below is an optimized crystal structure of AcErIn2Ag2, with properties calculated at the PBE level.

Output
Spin magnetization = 0.0 Bohr magnetons per cell
ΔE_f = -0.3900 eV per atom
Energy = -3.698 eV/atom
SG = No. 164

Cell: 4.873 4.873 7.734 Å, 90.00 90.00 120.00°
Fractional coordinates of all 6 atoms:
Ac 0.000 0.000 0.000
Er 0.000 0.000 0.500
In 0.333 0.667 0.286
In 0.667 0.333 0.714
Ag 0.333 0.667 0.697
Ag 0.667 0.333 0.303



Below is an optimized crystal structure of ReIrAu2, with properties calculated at the PBE level.

Output
Spin magnetization = 0.0 Bohr magnetons per cell
ΔE_f = 0.7016 eV per atom
Energy = -6.264 eV/atom
SG = No. 225
Energy relative to the lowest polymorph listed for this composition = 0.580 eV per atom

Cell: 4.504 4.504 4.504 Å, 60.00 60.00 60.00°
Fractional coordinates of all 4 atoms:
Re 0.000 0.000 0.000
Ir 0.500 0.500 0.500
Au 0.250 0.250 0.250
Au 0.750 0.750 0.750